*i*
VASP calculation (PBE) on a relaxed structure of Re7Ni6.

Cell and atoms, written as CIF:
```
data_Re7Ni6
_cell_length_a 5.0332
_cell_length_b 5.0332
_cell_length_c 25.5046
_cell_angle_alpha 90.00
_cell_angle_beta 90.00
_cell_angle_gamma 120.00
_space_group_name_H-M_alt 'R -3 m'
_space_group_IT_number 166
_space_group_name_Hall '-R 3 2"'
loop_
_atom_site_label
_atom_site_fract_x
_atom_site_fract_y
_atom_site_fract_z
Re1 0.0000 0.0000 0.0000
Re2 0.0063 0.5031 0.4151
Ni1 0.0000 0.0000 0.1635
Ni2 0.0000 0.0000 0.3476
Ni3 0.0000 0.0000 0.4508
```

*ii*
VASP calculation (PBE) on a relaxed structure of Re7Ni6.

Cell and atoms, written as CIF:
```
data_Re7Ni6
_cell_length_a 4.6717
_cell_length_b 4.6717
_cell_length_c 26.2852
_cell_angle_alpha 90.00
_cell_angle_beta 90.00
_cell_angle_gamma 120.00
_space_group_name_H-M_alt 'R -3 m'
_space_group_IT_number 166
_space_group_name_Hall '-R 3 2"'
loop_
_atom_site_label
_atom_site_fract_x
_atom_site_fract_y
_atom_site_fract_z
Re1 0.0000 0.0000 0.0000
Re2 0.0000 0.0000 0.1640
Re3 0.0000 0.0000 0.3505
Re4 0.0000 0.0000 0.4536
Ni1 0.0027 0.5014 0.4113
```

Least stable structure: *i*

*i*
VASP calculation (PBE) on a relaxed structure of Re10Ni3.

Cell and atoms, written as CIF:
```
data_Re10Ni3
_cell_length_a 4.9950
_cell_length_b 4.9950
_cell_length_c 26.1512
_cell_angle_alpha 90.00
_cell_angle_beta 90.00
_cell_angle_gamma 120.00
_space_group_name_H-M_alt 'R -3 m'
_space_group_IT_number 166
_space_group_name_Hall '-R 3 2"'
loop_
_atom_site_label
_atom_site_fract_x
_atom_site_fract_y
_atom_site_fract_z
Re1 0.0000 0.0000 0.1426
Re2 0.0000 0.0000 0.3348
Re3 0.0040 0.5020 0.9111
Ni1 0.0000 0.0000 0.0449
Ni2 0.0000 0.0000 0.5000
```

*ii*
VASP calculation (PBE) on a relaxed structure of Re10Ni3.

Cell and atoms, written as CIF:
```
data_Re10Ni3
_cell_length_a 5.0595
_cell_length_b 5.0595
_cell_length_c 25.9244
_cell_angle_alpha 90.00
_cell_angle_beta 90.00
_cell_angle_gamma 120.00
_space_group_name_H-M_alt 'R -3 m'
_space_group_IT_number 166
_space_group_name_Hall '-R 3 2"'
loop_
_atom_site_label
_atom_site_fract_x
_atom_site_fract_y
_atom_site_fract_z
Re1 0.0000 0.0000 0.0491
Re2 0.0000 0.0000 0.3345
Re3 0.0057 0.5028 0.9097
Ni1 0.0000 0.0000 0.1519
Ni2 0.0000 0.0000 0.5000
```

Least stable structure: *ii*

*i*
VASP calculation (PBE) on a relaxed structure of Re16Ni13.

Cell and atoms, written as CIF:
```
data_Re16Ni13
_cell_length_a 9.197
_cell_length_b 9.197
_cell_length_c 9.197
_cell_angle_alpha 90.00
_cell_angle_beta 90.00
_cell_angle_gamma 90.00
_space_group_name_H-M_alt 'I -4 3 m'
_space_group_IT_number 217
_space_group_name_Hall 'I -4 2 3'
loop_
_atom_site_label
_atom_site_fract_x
_atom_site_fract_y
_atom_site_fract_z
Re1 0.093 0.093 0.711
Re2 0.174 0.174 0.174
Ni1 0.000 0.000 0.000
Ni2 0.040 0.360 0.640
```

*ii*
VASP calculation (PBE) on a relaxed structure of Re16Ni13.

Cell and atoms, written as CIF:
```
data_Re16Ni13
_cell_length_a 9.107
_cell_length_b 9.107
_cell_length_c 9.107
_cell_angle_alpha 90.00
_cell_angle_beta 90.00
_cell_angle_gamma 90.00
_space_group_name_H-M_alt 'I -4 3 m'
_space_group_IT_number 217
_space_group_name_Hall 'I -4 2 3'
loop_
_atom_site_label
_atom_site_fract_x
_atom_site_fract_y
_atom_site_fract_z
Re1 0.044 0.360 0.640
Re2 0.180 0.180 0.180
Ni1 0.000 0.000 0.000
Ni2 0.089 0.089 0.725
```

Least stable structure: *i*

*i*
VASP calculation (PBE) on a relaxed structure of Re11Ni4.

Cell and atoms, written as CIF:
```
data_Re11Ni4
_cell_length_a 9.441
_cell_length_b 9.441
_cell_length_c 4.761
_cell_angle_alpha 90.00
_cell_angle_beta 90.00
_cell_angle_gamma 90.00
_space_group_name_H-M_alt 'P 42/m n m'
_space_group_IT_number 136
_space_group_name_Hall '-P 4n 2n'
loop_
_atom_site_label
_atom_site_fract_x
_atom_site_fract_y
_atom_site_fract_z
Re1 0.000 0.000 0.000
Re2 0.034 0.365 0.500
Re3 0.067 0.262 0.000
Re4 0.099 0.099 0.500
Ni1 0.183 0.817 0.250
```

*ii*
VASP calculation (PBE) on a relaxed structure of Re11Ni4.

Cell and atoms, written as CIF:
```
data_Re11Ni4
_cell_length_a 9.186
_cell_length_b 9.186
_cell_length_c 4.878
_cell_angle_alpha 90.00
_cell_angle_beta 90.00
_cell_angle_gamma 90.00
_space_group_name_H-M_alt 'P 42/m n m'
_space_group_IT_number 136
_space_group_name_Hall '-P 4n 2n'
loop_
_atom_site_label
_atom_site_fract_x
_atom_site_fract_y
_atom_site_fract_z
Re1 0.000 0.000 0.000
Re2 0.036 0.367 0.500
Re3 0.100 0.100 0.500
Re4 0.185 0.815 0.251
Ni1 0.064 0.260 0.000
```

*iii*
VASP calculation (PBE) on a relaxed structure of Re11Ni4.

Cell and atoms, written as CIF:
```
data_Re11Ni4
_cell_length_a 9.229
_cell_length_b 9.229
_cell_length_c 4.960
_cell_angle_alpha 90.00
_cell_angle_beta 90.00
_cell_angle_gamma 90.00
_space_group_name_H-M_alt 'P 42/m n m'
_space_group_IT_number 136
_space_group_name_Hall '-P 4n 2n'
loop_
_atom_site_label
_atom_site_fract_x
_atom_site_fract_y
_atom_site_fract_z
Re1 0.000 0.000 0.000
Re2 0.069 0.272 0.000
Re3 0.103 0.103 0.500
Re4 0.180 0.820 0.253
Ni1 0.038 0.374 0.500
```

Least stable structure: *iii*